(1)
Entry from the Alexandria database: TbNdAgBi after structural relaxation (PBE-GGA).

Output
SG: No. 216
uncorrected energy: -4.49 eV per atom
formation energy from the elements: -458 meV/atom
crystal system: cubic

a = 5.3846 Å, b = 5.3846 Å, c = 5.3846 Å
α = 60.00°, β = 60.00°, γ = 60.00°
Element x y z (fractional)
Nd1 0.0000 0.0000 0.0000
Tb1 0.5000 0.5000 0.5000
Bi1 0.2500 0.2500 0.2500
Ag1 0.7500 0.7500 0.7500

=====

(2)
Entry from the Alexandria database: NdThAgBi after structural relaxation (PBE-GGA).

Output
SG: No. 216
uncorrected energy: -5.05 eV per atom
formation energy from the elements: -315 meV/atom
crystal system: cubic

a = 5.4595 Å, b = 5.4595 Å, c = 5.4595 Å
α = 60.00°, β = 60.00°, γ = 60.00°
Element x y z (fractional)
Ag1 0.2500 0.2500 0.2500
Nd1 0.5000 0.5000 0.5000
Bi1 0.7500 0.7500 0.7500
Th1 0.0000 0.0000 0.0000

=====

(3)
Entry from the Alexandria database: NdTmAgBi after structural relaxation (PBE-GGA).

Output
SG: No. 216
uncorrected energy: -4.40 eV per atom
formation energy from the elements: -409 meV/atom
crystal system: cubic

a = 5.3487 Å, b = 5.3487 Å, c = 5.3487 Å
α = 60.00°, β = 60.00°, γ = 60.00°
Element x y z (fractional)
Tm1 0.0000 0.0000 0.0000
Nd1 0.5000 0.5000 0.5000
Bi1 0.7500 0.7500 0.7500
Ag1 0.2500 0.2500 0.2500

=====

(4)
Entry from the Alexandria database: Ni2AgBi2 after structural relaxation (PBE-GGA).

Output
SG: No. 127
uncorrected energy: -4.31 eV per atom
formation energy from the elements: 121 meV/atom
crystal system: tetragonal

a = 7.2076 Å, b = 7.2076 Å, c = 3.6953 Å
α = 90.00°, β = 90.00°, γ = 90.00°
Element x y z (fractional)
Ni1 0.3731 0.8731 0.0000
Ni2 0.8731 0.6269 0.0000
Ni3 0.6269 0.1269 0.0000
Ni4 0.1269 0.3731 0.0000
Bi1 0.1701 0.6701 0.5000
Bi2 0.6701 0.8299 0.5000
Bi3 0.8299 0.3299 0.5000
Bi4 0.3299 0.1701 0.5000
Ag1 0.0000 0.0000 0.0000
Ag2 0.5000 0.5000 0.0000

=====

(5)
Entry from the Alexandria database: Ni2Ag2Bi after structural relaxation (PBE-GGA).

Output
SG: No. 139
uncorrected energy: -3.91 eV per atom
formation energy from the elements: 319 meV/atom
crystal system: tetragonal

a = 3.8649 Å, b = 3.8649 Å, c = 6.6174 Å
α = 73.02°, β = 73.02°, γ = 90.00°
Element x y z (fractional)
Ni1 0.4025 0.4025 0.1950
Ni2 0.5975 0.5975 0.8050
Bi1 0.0000 0.0000 0.0000
Ag1 0.7500 0.2500 0.5000
Ag2 0.2500 0.7500 0.5000

=====

(6)
Entry from the Alexandria database: Ni2Ag2Bi after structural relaxation (PBE-GGA).

Output
SG: No. 127
uncorrected energy: -4.00 eV per atom
formation energy from the elements: 230 meV/atom
crystal system: tetragonal

a = 6.6098 Å, b = 6.6098 Å, c = 3.9855 Å
α = 90.00°, β = 90.00°, γ = 90.00°
Element x y z (fractional)
Ni1 0.3703 0.8703 0.0000
Ni2 0.8703 0.6297 0.0000
Ni3 0.6297 0.1297 0.0000
Ni4 0.1297 0.3703 0.0000
Bi1 0.0000 0.0000 0.0000
Bi2 0.5000 0.5000 0.0000
Ag1 0.1575 0.6575 0.5000
Ag2 0.6575 0.8425 0.5000
Ag3 0.8425 0.3425 0.5000
Ag4 0.3425 0.1575 0.5000

=====

(7)
Entry from the Alexandria database: NiAg2Bi2 after structural relaxation (PBE-GGA).

Output
SG: No. 127
uncorrected energy: -3.53 eV per atom
formation energy from the elements: 324 meV/atom
crystal system: tetragonal

a = 7.0581 Å, b = 7.0581 Å, c = 4.4770 Å
α = 90.00°, β = 90.00°, γ = 90.00°
Element x y z (fractional)
Ni1 0.0000 0.0000 0.0000
Ni2 0.5000 0.5000 0.0000
Bi1 0.1749 0.6749 0.5000
Bi2 0.6749 0.8251 0.5000
Bi3 0.8251 0.3251 0.5000
Bi4 0.3251 0.1749 0.5000
Ag1 0.3592 0.8592 0.0000
Ag2 0.8592 0.6408 0.0000
Ag3 0.6408 0.1408 0.0000
Ag4 0.1408 0.3592 0.0000

=====

(8)
Entry from the Alexandria database: Ni2AgBi2 after structural relaxation (PBE-GGA).

Output
SG: No. 139
uncorrected energy: -4.27 eV per atom
formation energy from the elements: 169 meV/atom
crystal system: tetragonal

a = 3.5313 Å, b = 3.5313 Å, c = 8.6501 Å
α = 78.22°, β = 78.22°, γ = 90.00°
Element x y z (fractional)
Ni1 0.7500 0.2500 0.5000
Ni2 0.2500 0.7500 0.5000
Bi1 0.3745 0.3745 0.2510
Bi2 0.6255 0.6255 0.7490
Ag1 0.0000 0.0000 0.0000

=====

(9)
Entry from the Alexandria database: NiAgBi after structural relaxation (PBE-GGA).

Output
SG: No. 216
uncorrected energy: -4.06 eV per atom
formation energy from the elements: 112 meV/atom
crystal system: cubic

a = 4.4303 Å, b = 4.4303 Å, c = 4.4303 Å
α = 60.00°, β = 60.00°, γ = 60.00°
Element x y z (fractional)
Ni1 0.2500 0.2500 0.2500
Bi1 0.0000 0.0000 0.0000
Ag1 0.5000 0.5000 0.5000

=====

(10)
Entry from the Alexandria database: Ni2Ag2Bi after structural relaxation (PBE-GGA).

Output
SG: No. 127
uncorrected energy: -3.88 eV per atom
formation energy from the elements: 354 meV/atom
crystal system: tetragonal

a = 7.5938 Å, b = 7.5938 Å, c = 3.0244 Å
α = 90.00°, β = 90.00°, γ = 90.00°
Element x y z (fractional)
Ni1 0.1642 0.6642 0.5000
Ni2 0.6642 0.8358 0.5000
Ni3 0.8358 0.3358 0.5000
Ni4 0.3358 0.1642 0.5000
Bi1 0.0000 0.0000 0.0000
Bi2 0.5000 0.5000 0.0000
Ag1 0.3701 0.8701 0.0000
Ag2 0.8701 0.6299 0.0000
Ag3 0.6299 0.1299 0.0000
Ag4 0.1299 0.3701 0.0000

=====

(11)
Entry from the Alexandria database: Ni4AgBi after structural relaxation (PBE-GGA).

Output
SG: No. 216
uncorrected energy: -4.82 eV per atom
formation energy from the elements: 161 meV/atom
crystal system: cubic

a = 4.9656 Å, b = 4.9656 Å, c = 4.9656 Å
α = 60.00°, β = 60.00°, γ = 60.00°
Element x y z (fractional)
Ni1 0.6255 0.6255 0.1234
Ni2 0.6255 0.1234 0.6255
Ni3 0.6255 0.6255 0.6255
Ni4 0.1234 0.6255 0.6255
Bi1 0.2500 0.2500 0.2500
Ag1 0.0000 0.0000 0.0000

=====

(12)
Entry from the Alexandria database: Ni2AgBi2 after structural relaxation (PBE-GGA).

Output
SG: No. 127
uncorrected energy: -4.14 eV per atom
formation energy from the elements: 291 meV/atom
crystal system: tetragonal

a = 7.8421 Å, b = 7.8421 Å, c = 3.2880 Å
α = 90.00°, β = 90.00°, γ = 90.00°
Element x y z (fractional)
Ni1 0.1220 0.6220 0.5000
Ni2 0.6220 0.8780 0.5000
Ni3 0.8780 0.3780 0.5000
Ni4 0.3780 0.1220 0.5000
Bi1 0.3348 0.8348 0.0000
Bi2 0.8348 0.6652 0.0000
Bi3 0.6652 0.1652 0.0000
Bi4 0.1652 0.3348 0.0000
Ag1 0.0000 0.0000 0.0000
Ag2 0.5000 0.5000 0.0000

=====

Copy entry 8 word for word.
Entry from the Alexandria database: Ni2AgBi2 after structural relaxation (PBE-GGA).

Output
SG: No. 139
uncorrected energy: -4.27 eV per atom
formation energy from the elements: 169 meV/atom
crystal system: tetragonal

a = 3.5313 Å, b = 3.5313 Å, c = 8.6501 Å
α = 78.22°, β = 78.22°, γ = 90.00°
Element x y z (fractional)
Ni1 0.7500 0.2500 0.5000
Ni2 0.2500 0.7500 0.5000
Bi1 0.3745 0.3745 0.2510
Bi2 0.6255 0.6255 0.7490
Ag1 0.0000 0.0000 0.0000

=====

Which of these has the lowest uncorrected energy?
NdThAgBi